LiSbMo | GGA-PBE | optimized geometry

- Total DFT energy (no corrections): -5.180 eV per atom
- Symmetry: No. 107
- Energy above the lowest structure with this stoichiometry: 0.275 eV/atom

Cell: 7.084 7.084 7.084 Å, 155.89 155.89 34.36°
Fractional positions:
Li (0.986, 0.986, 0.000)
Mo (0.332, 0.332, 0.000)
Sb (0.682, 0.682, 0.000)